1.
KInTc2Ni | PBE | optimized geometry

```
KInTc2Ni
1.0
-3.623 -1.611 -2.704
-0.729 -3.709 3.187
-3.067 2.734 2.481
Ni K Tc In
1 1 2 1
Cartesian
0.000 0.000 0.000
-3.710 -1.293 1.482
-1.534 1.367 1.240
-1.812 -0.806 -1.352
-0.365 -1.855 1.593
```

Values from the calculation:
The value obtained for the theoretical density is 6.0 g/cm3. For the total energy, the calculation gives -4.86 eV/atom. The space group is P4/mmm. For the spin magnetization, the calculation gives 5.57 μB/cell. The formation enthalpy at 0 K is 1.205 eV per atom. The value obtained for the density of states at the Fermi level is 0.9941 states/eV per atom.

***

2.
MgTaOF2 | PBE | optimized geometry

```
MgTaOF2
1.0
3.540 0.000 0.000
0.000 3.540 0.000
0.000 0.000 5.405
Mg F O Ta
1 2 1 1
Cartesian
0.000 0.000 0.000
0.000 1.770 0.000
1.770 0.000 0.000
0.000 0.000 2.702
1.770 1.770 2.702
```

Values from the calculation:
The value obtained for the theoretical density is 6.4 g/cm3. For the total energy, the calculation gives -5.96 eV/atom. The value obtained for the uncorrected formation energy is -1.529 eV per atom. The energy above the most stable polymorph in this dataset is 233.1 meV/atom. The space group is P4/mmm. For the spin magnetization, the calculation gives 2.63 μB/cell. The value obtained for the density of states at the Fermi level is 0.5660 states/eV per atom.

***

3.
Tc2C | PBE | optimized geometry

```
Tc2C
1.0
5.070 -0.001 -0.001
4.248 2.767 -0.001
4.248 1.261 2.463
C Tc
1 2
Cartesian
0.000 0.000 0.000
3.277 0.973 0.595
10.289 3.054 1.867
```

Values from the calculation:
The value obtained for the theoretical density is 10.0 g/cm3. For the total energy, the calculation gives -9.90 eV/atom. The energy above the most stable polymorph in this dataset is 12.3 meV/atom. The space group is R-3m. For the spin magnetization, the calculation gives 0.00 μB/cell. The formation enthalpy at 0 K is 0.087 eV per atom. The value obtained for the density of states at the Fermi level is 0.5796 states/eV per atom.

***

4.
KTlAu2 | PBE | optimized geometry

```
KTlAu2
1.0
3.655 0.000 0.000
0.000 3.660 0.000
0.000 0.000 7.931
Au K Tl
2 1 1
Cartesian
0.000 0.000 0.248
1.827 1.830 1.496
0.000 0.000 3.731
1.827 1.830 6.421
```

Values from the calculation:
The value obtained for the theoretical density is 10.0 g/cm3. For the total energy, the calculation gives -2.60 eV/atom. The energy above the most stable polymorph in this dataset is 100.1 meV/atom. The space group is P4mm. For the spin magnetization, the calculation gives 0.00 μB/cell. The formation enthalpy at 0 K is -0.100 eV per atom. The value obtained for the density of states at the Fermi level is 0.2902 states/eV per atom.